Record 1
Material: Ti6GeC4
Method: DFT, PBE
State: relaxed

Unit cell a=3.134 b=5.408 c=16.299 alpha=90.00 beta=90.00 gamma=106.84
Element x y z (fractional)
C1 0.139 0.277 0.460
C2 0.408 0.816 0.378
C3 0.592 0.184 0.622
C4 0.139 0.277 0.040
C5 0.861 0.723 0.960
C6 0.592 0.184 0.878
C7 0.861 0.723 0.540
C8 0.408 0.816 0.122
Ti1 0.642 0.283 0.750
Ti2 0.500 0.000 0.000
Ti3 0.500 0.000 0.500
Ti4 0.226 0.451 0.923
Ti5 0.964 0.929 0.852
Ti6 0.774 0.549 0.423
Ti7 0.358 0.717 0.250
Ti8 0.036 0.071 0.352
Ti9 0.964 0.929 0.648
Ti10 0.774 0.549 0.077
Ti11 0.226 0.451 0.577
Ti12 0.036 0.071 0.148
Ge1 0.661 0.321 0.250
Ge2 0.339 0.679 0.750

## Properties
The space group is Cmcm. The formation energy comes out at -8.98 eV per formula unit.

---

Record 2
Material: Ti7Ge2C2
Method: DFT, PBE
State: relaxed

Unit cell a=6.226 b=5.867 c=5.867 alpha=112.41 beta=95.88 gamma=95.88
Each line ends with the local moment (μB).
Element x y z (fractional)
C1 0.871 0.279 0.279  -0.01
C2 0.129 0.721 0.721  -0.01
Ti1 0.796 0.580 0.580  0.04
Ti2 0.192 0.920 0.507  0.18
Ti3 0.000 0.000 0.000  0.43
Ti4 0.204 0.420 0.420  0.04
Ti5 0.808 0.493 0.080  0.18
Ti6 0.808 0.080 0.493  0.18
Ti7 0.192 0.507 0.920  0.18
Ge1 0.500 0.696 0.304  -0.01
Ge2 0.500 0.304 0.696  -0.01

## Properties
The space group is C2/m. The formation energy comes out at -1.25 eV per formula unit.

---

Record 3
Material: Ti3GeC2
Method: DFT, PBE
State: relaxed

Unit cell a=3.100 b=3.100 c=17.899 alpha=90.00 beta=90.00 gamma=120.00
Element x y z (fractional)
Ti1 0.000 0.000 0.500
Ti2 0.333 0.667 0.632
Ti3 0.333 0.667 0.868
Ti4 0.667 0.333 0.132
Ti5 0.000 0.000 0.000
Ti6 0.667 0.333 0.368
C1 0.333 0.667 0.428
C2 0.667 0.333 0.572
C3 0.333 0.667 0.072
C4 0.667 0.333 0.928
Ge1 0.000 0.000 0.250
Ge2 0.000 0.000 0.750

## Properties
The space group is P6_3/mmc. The formation energy comes out at -5.03 eV per formula unit.

---

Record 4
Material: Ti4GeC2
Method: DFT, PBE
State: relaxed

Unit cell a=3.170 b=5.466 c=11.003 alpha=90.00 beta=90.00 gamma=106.86
Element x y z (fractional)
C1 0.866 0.731 0.940
C2 0.134 0.269 0.060
C3 0.866 0.731 0.560
C4 0.134 0.269 0.440
Ti1 0.239 0.479 0.604
Ti2 0.084 0.167 0.250
Ti3 0.239 0.479 0.896
Ti4 0.761 0.521 0.104
Ti5 0.916 0.833 0.750
Ti6 0.500 0.000 0.000
Ti7 0.500 0.000 0.500
Ti8 0.761 0.521 0.396
Ge1 0.610 0.220 0.750
Ge2 0.390 0.780 0.250

## Properties
The space group is Cmcm. The formation energy comes out at -5.39 eV per formula unit.

---

Record 5
Material: Ti4GeC
Method: DFT, PBE
State: relaxed

Unit cell a=5.625 b=5.726 c=5.724 alpha=90.00 beta=93.77 gamma=90.00
Element x y z (fractional)
C1 0.500 0.000 0.500
C2 0.000 0.500 0.500
Ti1 0.404 0.877 0.175
Ti2 0.904 0.623 0.175
Ti3 0.178 0.837 0.605
Ti4 0.596 0.123 0.825
Ti5 0.822 0.163 0.395
Ti6 0.096 0.377 0.825
Ti7 0.678 0.663 0.605
Ti8 0.322 0.337 0.395
Ge1 0.000 0.000 0.000
Ge2 0.500 0.500 0.000

## Properties
The space group is P2_1/c. The formation energy comes out at -2.14 eV per formula unit.

---

Record 6
Material: Ti6GeC4
Method: DFT, PBE
State: relaxed

Unit cell a=5.705 b=5.705 c=5.705 alpha=95.83 beta=116.69 gamma=116.69
Element x y z (fractional)
C1 0.426 0.795 0.795
C2 0.000 0.205 0.631
C3 0.574 0.369 0.369
C4 0.000 0.631 0.205
Ti1 0.695 0.156 0.156
Ti2 0.500 0.500 0.000
Ti3 0.000 0.844 0.538
Ti4 0.000 0.538 0.844
Ti5 0.500 0.000 0.500
Ti6 0.305 0.462 0.462
Ge1 0.000 0.000 0.000

## Properties
The space group is I-42m. The formation energy comes out at -1.41 eV per formula unit.

---

Energy list, top to bottom, in eV/atom: -8.896 -7.654 -8.630 -8.576 -7.928 -8.208
Size of the total moment list, top to bottom, in Bohr magnetons per cell: 0.00 1.54 0.00 0.00 0.00 0.01